The following is a DFT calculation (PBE-GGA) of a relaxed structure of CePuPd.

Properties
distance to the lowest polymorph of the same formula = 0.0000 eV per atom
formation energy from the elements = -1.1 eV/f.u.
symmetry = C2/m

The structure in POSCAR format:
```
CePuPd
1.0
5.838 0.000 -0.324
0.000 4.725 0.000
-0.838 -2.362 4.971
Pd Pu Ce
2 2 2
direct
0.838 0.722 0.444
0.162 0.278 0.556
0.756 0.036 0.073
0.244 0.964 0.927
0.304 0.627 0.254
0.696 0.373 0.746
```

=====

The following is a DFT calculation (PBE-GGA) of a relaxed structure of VNi12Rh6.

Properties
distance to the lowest polymorph of the same formula = 0.0540 eV per atom
formation energy from the elements = 2.0 eV/f.u.
symmetry = R-3

The structure in POSCAR format:
```
VNi12Rh6
1.0
-5.618 -2.103 1.667
2.520 -1.721 5.427
-1.248 5.721 2.118
Rh Ni V
6 12 1
direct
0.881 0.261 0.719
0.261 0.719 0.881
0.739 0.281 0.119
0.119 0.739 0.281
0.719 0.881 0.261
0.281 0.119 0.739
0.534 0.454 0.788
0.144 0.372 0.056
0.056 0.144 0.372
0.944 0.856 0.628
0.546 0.212 0.466
0.788 0.534 0.454
0.628 0.944 0.856
0.212 0.466 0.546
0.454 0.788 0.534
0.466 0.546 0.212
0.372 0.056 0.144
0.856 0.628 0.944
0.000 0.000 0.000
```

=====

The following is a DFT calculation (PBE-GGA) of a relaxed structure of Hf2Zr2C3.

Properties
formation energy from the elements = -5.7 eV/f.u.
symmetry = C2/m

The structure in POSCAR format:
```
Hf2Zr2C3
1.0
3.205 0.000 -0.883
-0.445 5.496 -1.616
-0.162 0.712 5.668
C Zr Hf
3 2 2
direct
0.250 0.751 0.501
0.750 0.249 0.499
0.000 0.000 0.000
0.867 0.632 0.735
0.133 0.368 0.265
0.626 0.890 0.252
0.374 0.110 0.748
```